{
  "formula": "Ti2CuRu2",
  "functional": "PBE",
  "state": "relaxed",
  "lattice_angstrom": [[7.062, 0.000, 0.000], [0.000, 7.062, 0.000], [0.000, 0.000, 3.056]],
  "species": ["Ti", "Ti", "Ti", "Ti", "Cu", "Cu", "Ru", "Ru", "Ru", "Ru"],
  "frac_coords": [[0.158, 0.342, 0.000], [0.342, 0.842, 0.000], [0.658, 0.158, 0.000], [0.842, 0.658, 0.000], [0.000, 0.000, 0.500], [0.500, 0.500, 0.500], [0.143, 0.643, 0.500], [0.357, 0.143, 0.500], [0.643, 0.857, 0.500], [0.857, 0.357, 0.500]],
  "dos_ef_per_ev_cell": 8.1,
  "m_tot_mub_per_cell": 0.00,
  "energy_ev_per_atom": -7.93,
  "e_form_ev_per_atom": -0.242,
  "de_polymorph_ev_per_atom": 0.0000
}